Entry 1:
Rb2UHgSe6 | GGA-PBE | optimized geometry

extended XYZ file:
```
10
Lattice="7.384 0.000 0.107 0.000 6.020 0.000 -2.944 -3.010 7.967" Properties=species:S:1:pos:R:3 pbc="T T T"
U 0.000 3.010 0.000
Rb 4.089 3.010 4.425
Hg 3.692 0.000 0.054
Rb 0.351 0.000 3.649
Se 3.028 0.000 5.906
Se -1.029 1.506 6.601
Se 5.469 1.504 1.473
Se -1.029 -1.506 6.601
Se 1.413 3.010 2.168
Se 5.469 4.516 1.473
```

Summary:
For the spin magnetization, the calculation gives 0.1 μB/cell. The uncorrected formation energy comes out at -0.698 eV per atom. The calculation puts the density of states at the Fermi level at 1.1 states/eV/cell.

Entry 2:
Ba8H2Ir | GGA-PBE | optimized geometry

extended XYZ file:
```
11
Lattice="-2.809 3.059 -6.164 3.587 -6.728 -4.698 -5.023 -7.336 -1.076" Properties=species:S:1:pos:R:3 pbc="T T T"
Ba -5.411 -6.153 -7.190
Ba -3.254 -9.625 -9.351
Ir 0.000 0.000 0.000
H -2.037 -0.529 -4.929
Ba -0.638 -5.815 -9.198
Ba -1.727 -8.435 -5.520
Ba 1.166 -4.853 -4.748
Ba -3.607 -5.190 -2.740
H -2.208 -10.477 -7.008
Ba -0.991 -1.380 -2.587
Ba -2.518 -2.570 -6.418
```

Summary:
For the spin magnetization, the calculation gives 1.0 μB/cell. For the total energy, the calculation gives -3.00 eV per atom. The calculation puts the density of states at the Fermi level at 10.3 states/eV/cell.

Entry 3:
NaSr2Ag | GGA-PBE | optimized geometry

extended XYZ file:
```
4
Lattice="-4.212 0.057 4.091 -4.483 3.766 -0.453 -5.376 -1.977 -1.293" Properties=species:S:1:pos:R:3 pbc="T T T"
Ag -7.036 0.923 1.173
Na 0.000 0.000 0.000
Sr -10.553 1.385 1.759
Sr -3.518 0.462 0.586
```

Summary:
For the spin magnetization, the calculation gives 0.0 μB/cell. The formation energy is -0.07 eV per atom. As for the energy relative to the lowest polymorph listed for this composition: 77 meV per atom. The calculation puts the density of states at the Fermi level at 6.2 states/eV/cell.

Entry 4:
Na2GaAsIr | GGA-PBE | optimized geometry

extended XYZ file:
```
5
Lattice="5.110 0.000 0.000 0.000 4.618 0.000 0.000 0.000 5.110" Properties=species:S:1:pos:R:3 pbc="T T T"
Na 2.555 0.000 0.000
Ir 0.000 2.309 0.000
As 2.555 2.309 2.555
Na 0.000 0.000 2.555
Ga 0.000 0.000 0.000
```

Summary:
For the spin magnetization, the calculation gives 0.0 μB/cell. The formation energy is 0.58 eV per atom. The calculation puts the density of states at the Fermi level at 3.6 states/eV/cell.

Entry 5:
Sr3CaHg | GGA-PBE | optimized geometry

extended XYZ file:
```
10
Lattice="-2.447 2.921 2.321 -6.285 1.078 -3.694 -7.924 -9.145 7.442" Properties=species:S:1:pos:R:3 pbc="T T T"
Sr -8.174 1.011 -1.312
Sr -5.315 -1.115 4.377
Sr -12.441 -4.057 4.855
Sr -10.454 -5.342 8.567
Sr -8.999 -2.795 2.607
Sr -6.203 -5.210 4.305
Hg -9.395 -5.317 5.363
Hg -5.021 1.261 1.696
Ca -3.990 1.183 -1.407
Ca -5.636 -1.691 0.475
```

Summary:
For the spin magnetization, the calculation gives 0.0 μB/cell. The formation energy is -0.22 eV per atom. As for the energy relative to the lowest polymorph listed for this composition: 0 meV per atom. The calculation puts the density of states at the Fermi level at 13.7 states/eV/cell.

Entry 6:
CaTeS2Br | GGA-PBE | optimized geometry

extended XYZ file:
```
10
Lattice="4.439 0.000 0.000 0.000 7.564 -0.102 0.000 -1.344 10.897" Properties=species:S:1:pos:R:3 pbc="T T T"
Ca 3.330 1.878 0.225
Te 3.330 2.597 7.083
S 3.330 2.446 4.007
Te 1.110 3.623 3.712
S 1.110 3.311 1.283
S 3.330 2.909 9.512
S 1.110 3.774 6.787
Br 1.110 -0.574 9.439
Ca 1.110 4.342 10.569
Br 3.330 6.794 1.356
```

Summary:
For the spin magnetization, the calculation gives 0.0 μB/cell. The uncorrected formation energy comes out at -0.972 eV per atom. The calculation puts the density of states at the Fermi level at 2.1 states/eV/cell.

Entry 7:
RbBaNa | GGA-PBE | optimized geometry

extended XYZ file:
```
3
Lattice="4.508 0.000 0.000 -2.254 3.904 0.000 0.000 0.000 10.750" Properties=species:S:1:pos:R:3 pbc="T T T"
Na 2.254 1.301 3.704
Ba 0.000 2.602 6.868
Rb 0.000 0.000 0.178
```

Summary:
For the spin magnetization, the calculation gives 0.0 μB/cell. The formation energy is 0.09 eV per atom. As for the energy relative to the lowest polymorph listed for this composition: 66 meV per atom. The calculation puts the density of states at the Fermi level at 3.3 states/eV/cell.

Entry 8:
HfZnN2 | GGA-PBE | optimized geometry

extended XYZ file:
```
8
Lattice="-3.569 -1.877 2.497 2.554 0.428 3.974 -2.365 3.755 3.947" Properties=species:S:1:pos:R:3 pbc="T T T"
Zn -0.508 -0.725 3.235
Hf 0.000 0.000 0.000
N -2.170 2.270 5.362
N -2.647 1.551 8.645
N 0.581 0.983 3.767
Hf -3.221 0.577 4.839
Zn -0.159 1.729 5.578
N -2.525 -0.192 3.059
```

Summary:
For the spin magnetization, the calculation gives 0.0 μB/cell. The uncorrected formation energy comes out at -0.916 eV per atom. The calculation puts the density of states at the Fermi level at 0.0 states/eV/cell.